## AcPmSm3Er (PBE-GGA)

Data for a relaxed structure of AcPmSm3Er.

It has space group P2_1/m (No. 11), with a = 8.227 Å, b = 5.200 Å, c = 10.376 Å, α = 90.00°, β = 108.65° and γ = 90.00°. The inequivalent atoms are Ac at (0.169, 0.250, 0.293), Pm at (0.496, 0.750, 0.875), Sm at (0.171, 0.750, 0.040), Sm at (0.172, 0.250, 0.792), Sm at (0.172, 0.750, 0.546) and Er at (0.498, 0.250, 0.626).

Its energy of formation from the pure elements is 40 meV/atom.

## CdIrCl (PBE-GGA)

Data for a relaxed structure of CdIrCl.

It has space group P-6m2 (No. 187), with a = 4.4128 Å, b = 4.4128 Å, c = 3.1764 Å, α = 90.00°, β = 90.00° and γ = 120.00°. The inequivalent atoms are Cd at (0.0000, 0.0000, 0.0000), Ir at (0.3333, 0.6667, 0.5000) and Cl at (0.6667, 0.3333, 0.5000).

The value obtained for the raw formation energy is 0.5016 eV/atom.